[1]
Entry from Alexandria: NbAuCl2 after structural relaxation (PBE).

Formation energy from raw total energies   1.3 eV/f.u.
Calculated total energy   -3.93 eV per atom
Volume   72.09 Å³/f.u.
Offset from the most stable computed form   0.875 eV per atom

abc: 4.671 4.671 4.671
angles: 60.00 60.00 60.00
Positions (direct):
Nb: 0.000 0.000 0.000
Au: 0.500 0.500 0.500
Cl: 0.250 0.250 0.250
Cl: 0.750 0.750 0.750

[2]
Entry from Alexandria: NbAuCl2 after structural relaxation (PBE).

Formation energy from raw total energies   -0.8 eV/f.u.
Calculated total energy   -4.46 eV per atom
Volume   105.17 Å³/f.u.
Offset from the most stable computed form   0.352 eV per atom

abc: 6.796 6.796 6.796
angles: 99.12 99.12 133.08
Positions (direct):
Nb: 0.000 0.000 0.000
Nb: 0.750 0.250 0.500
Au: 0.250 0.750 0.500
Au: 0.500 0.500 0.000
Cl: 0.375 0.234 0.359
Cl: 0.766 0.125 0.141
Cl: 0.875 0.016 0.641
Cl: 0.984 0.625 0.859

[3]
Entry from Alexandria: NbAuCl2 after structural relaxation (PBE).

Formation energy from raw total energies   -2.2 eV/f.u.
Calculated total energy   -4.81 eV per atom
Volume   92.94 Å³/f.u.
Offset from the most stable computed form   0.000 eV per atom

abc: 11.473 11.473 11.473
angles: 15.41 15.41 15.41
Positions (direct):
Nb: 0.000 0.000 0.000
Au: 0.500 0.500 0.500
Cl: 0.387 0.387 0.387
Cl: 0.613 0.613 0.613

[4]
Entry from Alexandria: NbAuCl3 after structural relaxation (PBE).

Formation energy from raw total energies   2.7 eV/f.u.
Calculated total energy   -3.24 eV per atom
Volume   129.94 Å³/f.u.
Offset from the most stable computed form   0.766 eV per atom

abc: 5.065 5.065 5.065
angles: 90.00 90.00 90.00
Positions (direct):
Nb: 0.000 0.000 0.000
Au: 0.500 0.500 0.500
Cl: 0.000 0.500 0.500
Cl: 0.500 0.000 0.500
Cl: 0.500 0.500 0.000

[5]
Entry from Alexandria: Nb2SnAuCl after structural relaxation (PBE).

Formation energy from raw total energies   6.5 eV/f.u.
Calculated total energy   -4.56 eV per atom
Volume   127.35 Å³/f.u.

abc: 5.193 5.193 4.722
angles: 90.00 90.00 90.00
Positions (direct):
Nb: 0.000 0.500 0.000
Nb: 0.500 0.000 0.000
Sn: 0.000 0.000 0.500
Au: 0.500 0.500 0.000
Cl: 0.500 0.500 0.500

[6]
Entry from Alexandria: NbSnAu2Cl after structural relaxation (PBE).

Formation energy from raw total energies   4.1 eV/f.u.
Calculated total energy   -3.67 eV per atom
Volume   139.59 Å³/f.u.

abc: 5.191 5.191 5.180
angles: 90.00 90.00 90.00
Positions (direct):
Nb: 0.000 0.000 0.000
Sn: 0.500 0.500 0.500
Au: 0.000 0.500 0.500
Au: 0.500 0.000 0.500
Cl: 0.500 0.500 0.000

The highest formation energy from raw total energies belongs to which entry?
Nb2SnAuCl